The following is a GGA-PBE calculation of a geometry-optimized LaSm2Er9 structure, from Alexandria.

Calculated values
Formation enthalpy at 0 K (meV per atom): 49
Space-group type: P6/mmm
Crystal system: hexagonal
Energy above the lowest structure with this stoichiometry (meV per atom): 21

Unit cell a=11.231 b=11.231 c=3.519 alpha=90.00 beta=90.00 gamma=120.00
Atoms (fractional coordinates):
La1 0.000 0.000 0.000
Sm1 0.333 0.667 0.000
Sm2 0.667 0.333 0.000
Er1 0.000 0.500 0.000
Er2 0.178 0.356 0.500
Er3 0.178 0.822 0.500
Er4 0.356 0.178 0.500
Er5 0.500 0.000 0.000
Er6 0.500 0.500 0.000
Er7 0.644 0.822 0.500
Er8 0.822 0.178 0.500
Er9 0.822 0.644 0.500


The following is a GGA-PBE calculation of a geometry-optimized LiGdAlOs structure, from Alexandria.

Calculated values
Formation enthalpy at 0 K (meV per atom): -186
Space-group type: F-43m
Crystal system: cubic

Unit cell a=4.637 b=4.637 c=4.637 alpha=60.00 beta=60.00 gamma=60.00
Atoms (fractional coordinates):
Li1 0.000 0.000 0.000
Gd1 0.750 0.750 0.750
Al1 0.250 0.250 0.250
Os1 0.500 0.500 0.500


The following is a GGA-PBE calculation of a geometry-optimized Pr2B6Ir9 structure, from Alexandria.

Calculated values
Formation enthalpy at 0 K (meV per atom): -555
Space-group type: P6/mmm
Crystal system: hexagonal

Unit cell a=5.715 b=5.715 c=8.641 alpha=90.00 beta=90.00 gamma=120.00
Atoms (fractional coordinates):
Pr1 0.000 0.000 0.204
Pr2 0.000 0.000 0.796
B1 0.333 0.667 0.167
B2 0.333 0.667 0.500
B3 0.333 0.667 0.833
B4 0.667 0.333 0.167
B5 0.667 0.333 0.500
B6 0.667 0.333 0.833
Ir1 0.000 0.500 0.000
Ir2 0.000 0.500 0.337
Ir3 0.000 0.500 0.663
Ir4 0.500 0.000 0.000
Ir5 0.500 0.000 0.337
Ir6 0.500 0.000 0.663
Ir7 0.500 0.500 0.000
Ir8 0.500 0.500 0.337
Ir9 0.500 0.500 0.663


The following is a GGA-PBE calculation of a geometry-optimized ReSiB3 structure, from Alexandria.

Calculated values
Space-group type: Pm-3m
Crystal system: cubic
Formation energy without anion corrections (eV/atom): 1.951
Energy above the lowest structure with this stoichiometry (meV per atom): 665

Unit cell a=3.835 b=3.835 c=3.835 alpha=90.00 beta=90.00 gamma=90.00
Atoms (fractional coordinates):
Re1 0.000 0.000 0.000
Si1 0.500 0.500 0.500
B1 0.000 0.500 0.500
B2 0.500 0.000 0.500
B3 0.500 0.500 0.000